No. 1
The following is a GGA-PBE calculation of a relaxed structure of BeCuF3, from Alexandria.

Cell lengths 3.972, 3.972, 3.972 Å; angles 90.00, 90.00, 90.00 degrees
Fractional coordinates of all 5 atoms:
1 Be 0.000 0.000 0.000
2 Cu 0.500 0.500 0.500
3 F 0.000 0.500 0.500
4 F 0.500 0.000 0.500
5 F 0.500 0.500 0.000

Results
Raw formation energy: -0.853 eV/atom
Space-group type: Pm-3m, No. 221
Spin magnetization: 0.16 μB per atom
E above lowest polymorph: 1.1328 eV per atom

No. 2
The following is a GGA-PBE calculation of a relaxed structure of BeCu3F, from Alexandria.

Cell lengths 4.053, 4.053, 4.053 Å; angles 90.00, 90.00, 90.00 degrees
Fractional coordinates of all 5 atoms:
1 Be 0.000 0.000 0.000
2 Cu 0.000 0.000 0.500
3 Cu 0.000 0.500 0.000
4 Cu 0.500 0.000 0.000
5 F 0.500 0.500 0.500

Results
Raw formation energy: 0.316 eV/atom
Space-group type: Pm-3m, No. 221
Spin magnetization: 0.00 μB per atom
E above lowest polymorph: 0.0000 eV per atom

No. 3
The following is a GGA-PBE calculation of a relaxed structure of Be3CuF, from Alexandria.

Cell lengths 3.617, 3.617, 3.617 Å; angles 90.00, 90.00, 90.00 degrees
Fractional coordinates of all 5 atoms:
1 Be 0.000 0.000 0.500
2 Be 0.000 0.500 0.000
3 Be 0.500 0.000 0.000
4 Cu 0.500 0.500 0.500
5 F 0.000 0.000 0.000

Results
Raw formation energy: 0.013 eV/atom
Space-group type: Pm-3m, No. 221
Spin magnetization: 0.00 μB per atom
E above lowest polymorph: 0.0000 eV per atom